First-principles (PBE) data for a relaxed Ca4PrSm3Te8 crystal, as listed in Alexandria via LeMat-Bulk.

The calculation puts the total energy at -228.408 eV/cell. As for the density: 5.782 g cm⁻³. Its magnetic moment is 0.00 μB/f.u.

The structure belongs to space group R-3m (No. 166, hexagonal axes); the cell edges are 8.8834, 8.8834 and 22.3527 Å and the angles 90.00°, 90.00° and 120.00°. The inequivalent atoms are Ca at (0.0000, 0.0000, 0.0000), Ca at (0.0000, 0.5000, 0.0000), Pr at (0.0000, 0.0000, 0.5000), Sm at (0.0000, 0.5000, 0.5000), Te at (0.0000, 0.0000, 0.2504) and Te at (0.0033, 0.5016, 0.7488).